Material: Sc4Sb3H
Method: DFT, GGA-PBE
State: relaxed

As for the total magnetic moment: 0.00 μB per formula unit. As for the calculated total energy: -89.36 eV for the cell shown. Its density of states at the Fermi level is 11.94 states/eV per cell.

It has space group Pmn2_1 (No. 31), with a = 8.959 Å, b = 7.924 Å, c = 5.796 Å, α = 90.00°, β = 90.00° and γ = 90.00°. The asymmetric unit holds Sc at (0.000, 0.098, 0.000), Sc at (0.000, 0.835, 0.491), Sc at (0.192, 0.712, 0.999), Sb at (0.000, 0.188, 0.500), Sb at (0.236, 0.350, 0.000) and H at (0.000, 0.842, 0.857).

Material: BaLa2Ag
Method: DFT, GGA-PBE
State: relaxed

For the energy above the most stable polymorph in this dataset, the calculation gives 206 meV per atom. As for the total magnetic moment: 0.00 μB per formula unit. The calculation puts the calculated formation energy at 138.8 meV per atom. Its density of states at the Fermi level is 9.84 states/eV per cell.

It has space group C2/m (No. 12), with a = 6.797 Å, b = 12.624 Å, c = 3.776 Å, α = 90.00°, β = 118.84° and γ = 90.00°. The asymmetric unit holds Ba at (0.000, 0.000, 0.000), La at (0.250, 0.250, 0.500) and Ag at (0.000, 0.500, 0.000).

Material: Os2RhCl
Method: DFT, GGA-PBE
State: relaxed

For the energy above the most stable polymorph in this dataset, the calculation gives 1131 meV per atom. As for the total magnetic moment: 0.00 μB per formula unit. The raw formation energy comes out at 1.566 eV per atom. Its density of states at the Fermi level is 5.53 states/eV per cell.

It has space group I-42d (No. 122), with a = 5.934 Å, b = 5.934 Å, c = 8.541 Å, α = 90.00°, β = 90.00° and γ = 90.00°. The asymmetric unit holds Os at (0.230, 0.250, 0.125), Rh at (0.000, 0.000, 0.500) and Cl at (0.000, 0.000, 0.000).

Material: CrSi2Ir
Method: DFT, GGA-PBE
State: relaxed

As for the total magnetic moment: 1.14 μB per formula unit. The raw formation energy comes out at -0.189 eV per atom. Its density of states at the Fermi level is 6.07 states/eV per cell.

It has space group Imm2 (No. 44), with a = 2.846 Å, b = 4.029 Å, c = 9.172 Å, α = 90.00°, β = 90.00° and γ = 90.00°. The asymmetric unit holds Cr at (0.000, 0.000, 0.000), Si at (0.000, 0.000, 0.504), Si at (0.000, 0.500, 0.272) and Ir at (0.000, 0.500, 0.769).

Material: ZrTe2Br
Method: DFT, GGA-PBE
State: relaxed

For the energy above the most stable polymorph in this dataset, the calculation gives 220 meV per atom. As for the total magnetic moment: 0.00 μB per formula unit. The raw formation energy comes out at -0.519 eV per atom. Its density of states at the Fermi level is 4.18 states/eV per cell.

It has space group P4mm (No. 99), with a = 3.350 Å, b = 3.350 Å, c = 10.879 Å, α = 90.00°, β = 90.00° and γ = 90.00°. The asymmetric unit holds Zr at (0.000, 0.000, 0.000), Te at (0.000, 0.000, 0.500), Te at (0.500, 0.500, 0.832) and Br at (0.500, 0.500, 0.160).

Material: ThUMn4Si4
Method: DFT, GGA-PBE
State: relaxed

As for the total magnetic moment: 5.09 μB per formula unit. The raw formation energy comes out at -0.511 eV per atom. Its density of states at the Fermi level is 9.62 states/eV per cell.

It has space group P4/mmm (No. 123), with a = 3.958 Å, b = 3.958 Å, c = 10.185 Å, α = 90.00°, β = 90.00° and γ = 90.00°. The asymmetric unit holds Th at (0.000, 0.000, 0.000), U at (0.500, 0.500, 0.500), Mn at (0.000, 0.500, 0.258), Si at (0.000, 0.000, 0.383) and Si at (0.500, 0.500, 0.127).

Material: LiYGa2Au2
Method: DFT, GGA-PBE
State: relaxed

As for the total magnetic moment: 0.00 μB per formula unit. The calculation puts the calculated formation energy at -659.2 meV per atom. Its density of states at the Fermi level is 2.49 states/eV per cell.

It has space group P-3m1 (No. 164), with a = 4.4995 Å, b = 4.4995 Å, c = 6.4881 Å, α = 90.00°, β = 90.00° and γ = 120.00°. The asymmetric unit holds Li at (0.0000, 0.0000, 0.0000), Y at (0.0000, 0.0000, 0.5000), Ga at (0.3333, 0.6667, 0.2080) and Au at (0.3333, 0.6667, 0.7722).

Material: RePdCl2
Method: DFT, GGA-PBE
State: relaxed

For the energy above the most stable polymorph in this dataset, the calculation gives 660 meV per atom. As for the total magnetic moment: 1.70 μB per formula unit. The raw formation energy comes out at 1.047 eV per atom. Its density of states at the Fermi level is 10.14 states/eV per cell.

It has space group Fm-3m (No. 225), with a = 6.327 Å, b = 6.327 Å, c = 6.327 Å, α = 90.00°, β = 90.00° and γ = 90.00°. The asymmetric unit holds Re at (0.000, 0.000, 0.000), Pd at (0.000, 0.000, 0.500) and Cl at (0.250, 0.250, 0.250).

Material: SrTl2SnAs2
Method: DFT, GGA-PBE
State: relaxed

As for the total magnetic moment: 0.00 μB per formula unit. The calculation puts the calculated formation energy at -348.5 meV per atom. Its density of states at the Fermi level is 2.24 states/eV per cell.

It has space group Pmc2_1 (No. 26), with a = 4.861 Å, b = 9.654 Å, c = 7.551 Å, α = 90.00°, β = 90.00° and γ = 90.00°. The asymmetric unit holds Sr at (0.000, 0.078, 0.000), Tl at (0.000, 0.339, 0.334), Tl at (0.500, 0.429, 0.029), Sn at (0.500, 0.199, 0.638), As at (0.000, 0.331, 0.735) and As at (0.500, 0.075, 0.286).

Material: Dy6P2CS3
Method: DFT, GGA-PBE
State: relaxed

As for the total magnetic moment: 0.00 μB per formula unit. The raw formation energy comes out at -1.672 eV per atom. Its density of states at the Fermi level is 6.74 states/eV per cell.

It has space group C2/m (No. 12), with a = 17.081 Å, b = 3.875 Å, c = 7.872 Å, α = 90.00°, β = 103.63° and γ = 90.00°. The asymmetric unit holds Dy at (0.000, 0.000, 0.219), Dy at (0.152, 0.500, 0.078), Dy at (0.166, 0.500, 0.580), P at (0.166, 0.000, 0.332), C at (0.000, 0.500, 0.000), S at (0.000, 0.500, 0.500) and S at (0.168, 0.000, 0.835).

Material: NaZnO3
Method: DFT, GGA-PBE
State: relaxed

As for the total magnetic moment: 0.00 μB per formula unit. The raw formation energy comes out at -0.418 eV per atom. Its density of states at the Fermi level is 5.22 states/eV per cell.

It has space group Pm-3m (No. 221), with a = 3.831 Å, b = 3.831 Å, c = 3.831 Å, α = 90.00°, β = 90.00° and γ = 90.00°. The asymmetric unit holds Na at (0.000, 0.000, 0.000), Zn at (0.500, 0.500, 0.500) and O at (0.000, 0.500, 0.500).

Material: CaVPt2
Method: DFT, GGA-PBE
State: relaxed

For the energy above the most stable polymorph in this dataset, the calculation gives 0 meV per atom. As for the total magnetic moment: 2.34 μB per formula unit. The calculation puts the calculated formation energy at -360.2 meV per atom. Its density of states at the Fermi level is 17.50 states/eV per cell.

It has space group Fm-3m (No. 225), with a = 6.590 Å, b = 6.590 Å, c = 6.590 Å, α = 90.00°, β = 90.00° and γ = 90.00°. The asymmetric unit holds Ca at (0.000, 0.000, 0.000), V at (0.000, 0.000, 0.500) and Pt at (0.250, 0.250, 0.250).